Entry from Alexandria: a relaxed CoAg crystal (PBE).

Structure (POSCAR):
```
CoAg
1.0
-1.6804 1.5567 -1.4502
1.1148 -2.2021 -1.1214
-7.1269 -5.0519 2.8353
Ag Co
2 2
Direct
0.0000 0.0000 0.0000
0.0000 0.0000 0.5000
0.3333 0.6667 0.2500
0.6667 0.3333 0.7500
```

## Properties
E_tot   -18.1 eV per cell
V   58.5 Å³/cell